1.
# Mn2AlSi

A geometry-optimized Mn2AlSi structure (PBE, Alexandria).

Properties
For the raw total energy, the calculation gives -28.65 eV/f.u. Its magnetization is 4.08 μB per formula unit. The space-group type is No. 139. Its formation energy without anion corrections is -1.14 eV/f.u.

abc: 4.3828 4.3828 4.3828
angles: 129.29 129.24 74.58
Fractional positions:
Mn (0.5002, 0.5002, 0.0000)
Mn (0.9998, 0.9998, 0.0000)
Si (0.7500, 0.2500, 0.5000)
Al (0.2500, 0.7500, 0.5000)



2.
# SmMnAlSi2

A geometry-optimized SmMnAlSi2 structure (PBE, Alexandria).

Properties
For the raw total energy, the calculation gives -31.15 eV/f.u. Its magnetization is 2.30 μB per formula unit. The space-group type is No. 119. Its formation energy without anion corrections is -2.67 eV/f.u.

abc: 3.9624 3.9624 6.1012
angles: 108.95 108.95 90.00
Fractional positions:
Sm (0.0000, 0.0000, 0.0000)
Al (0.2500, 0.7500, 0.5000)
Mn (0.7500, 0.2500, 0.5000)
Si (0.6119, 0.6119, 0.2237)
Si (0.3881, 0.3881, 0.7763)